Record 1
The following is a PBE calculation of a relaxed structure of Tl8Hg3As2, from the Alexandria database.

Results
Energy of formation = 1 meV/atom
Mass density = 9.78 Mg/m³

Cell lengths 11.105, 11.105, 4.368 Å; angles 93.35, 93.35, 48.95 degrees
Atoms (fractional coordinates):
1 Tl 0.032 0.618 0.280
2 Tl 0.078 0.078 0.176
3 Tl 0.344 0.344 0.780
4 Tl 0.382 0.968 0.720
5 Tl 0.618 0.032 0.280
6 Tl 0.656 0.656 0.220
7 Tl 0.922 0.922 0.824
8 Tl 0.968 0.382 0.720
9 Hg 0.265 0.735 0.500
10 Hg 0.500 0.500 0.000
11 Hg 0.735 0.265 0.500
12 As 0.235 0.235 0.249
13 As 0.765 0.765 0.751

=====

Record 2
The following is a PBE calculation of a relaxed structure of Ni5P, from the Alexandria database.

Results
Energy of formation = -166 meV/atom
Mass density = 8.42 Mg/m³

Cell lengths 4.292, 4.292, 4.011 Å; angles 90.00, 90.00, 120.00 degrees
Atoms (fractional coordinates):
1 Ni 0.000 0.673 0.000
2 Ni 0.327 0.327 0.000
3 Ni 0.333 0.667 0.500
4 Ni 0.667 0.333 0.500
5 Ni 0.673 0.000 0.000
6 P 0.000 0.000 0.500

=====

Record 3
The following is a PBE calculation of a relaxed structure of V3Ni5Rh, from the Alexandria database.

Results
Energy of formation = 249 meV/atom
Mass density = 7.87 Mg/m³

Cell lengths 6.940, 6.940, 6.940 Å; angles 121.24, 121.24, 87.86 degrees
Atoms (fractional coordinates):
1 V 0.106 0.606 0.712
2 V 0.250 0.250 0.000
3 V 0.394 0.106 0.500
4 V 0.606 0.894 0.500
5 V 0.750 0.750 0.000
6 V 0.894 0.394 0.288
7 Ni 0.000 0.000 0.000
8 Ni 0.084 0.154 0.500
9 Ni 0.154 0.654 0.070
10 Ni 0.346 0.416 0.500
11 Ni 0.416 0.916 0.070
12 Ni 0.500 0.500 0.000
13 Ni 0.584 0.084 0.930
14 Ni 0.654 0.584 0.500
15 Ni 0.846 0.346 0.930
16 Ni 0.916 0.846 0.500
17 Rh 0.250 0.750 0.500
18 Rh 0.750 0.250 0.500

=====

Record 4
The following is a PBE calculation of a relaxed structure of NaNb2CuCl, from the Alexandria database.

Results
Mass density = 4.20 Mg/m³
Raw formation energy = 1.09 eV/atom

Cell lengths 4.700, 4.700, 5.507 Å; angles 90.00, 90.00, 90.00 degrees
Atoms (fractional coordinates):
1 Na 0.000 0.000 0.000
2 Nb 0.000 0.500 0.500
3 Nb 0.500 0.000 0.500
4 Cu 0.000 0.000 0.500
5 Cl 0.500 0.500 0.000